# 1
First-principles (PBEsol) data for a geometry-optimized CaReN3 structure, as listed in Alexandria. Values from VASP.

Computed properties:
- Total moment: 0.00 μB/f.u.
- E_tot: -8.792 eV/atom
- Mass density: 5.80 g cm⁻³
- Uncorrected formation energy: -2.9 eV/f.u.
- N(E_F): 0.00 states/eV per atom

Cell and atoms, written as Quantum ESPRESSO input:
```
&SYSTEM
  ibrav = 0, nat = 20, ntyp = 3
/
ATOMIC_SPECIES
Ca 40.08 Ca.upf
Re 186.21 Re.upf
N 14.01 N.upf
ATOMIC_POSITIONS angstrom
Ca 3.5023 6.4517 0.6169
Ca 3.5023 2.2998 4.9204
Ca 6.6062 0.8353 6.4134
Ca 6.6062 4.9872 2.1099
Re 5.6868 1.5049 2.6574
Re 7.5257 4.5648 5.6095
Re 4.4217 5.7820 4.3729
Re 2.5828 2.7222 1.4208
N 2.8353 4.7603 4.5543
N 7.5367 5.6967 6.9782
N 5.6758 0.0966 1.5753
N 4.4327 7.1904 5.4550
N 7.2732 2.5267 2.4760
N 2.4455 4.3557 0.8202
N 7.6630 2.9312 6.2101
N 2.5719 1.5902 0.0521
N 5.5495 0.9633 4.3115
N 4.1692 2.5775 2.4484
N 4.5591 6.3237 2.7188
N 5.9393 4.7095 4.5819
CELL_PARAMETERS angstrom
6.2079 -0.0250 -0.0241
1.9503 7.0322 0.0276
1.9503 0.2797 7.0267
```

=====

# 2
First-principles (PBEsol) data for a geometry-optimized RbMn2InSn structure, as listed in Alexandria. Values from VASP.

Computed properties:
- Total moment: 7.93 μB/f.u.
- E_form: 882 meV per atom
- E_tot: -4.676 eV/atom
- Mass density: 4.59 g cm⁻³
- N(E_F): 0.92 states/eV per atom

Cell and atoms, written as Quantum ESPRESSO input:
```
&SYSTEM
  ibrav = 0, nat = 5, ntyp = 4
/
ATOMIC_SPECIES
Mn 54.94 Mn.upf
Sn 118.71 Sn.upf
Rb 85.47 Rb.upf
In 114.82 In.upf
ATOMIC_POSITIONS angstrom
Mn 0.0000 2.5915 0.0000
Mn 2.5915 0.0000 0.0000
Sn 0.0000 0.0000 0.0000
Rb 2.5915 2.5915 2.8877
In 0.0000 0.0000 2.8877
CELL_PARAMETERS angstrom
5.1830 0.0000 0.0000
0.0000 5.1830 0.0000
0.0000 0.0000 5.7755
```

=====

# 3
First-principles (PBEsol) data for a geometry-optimized BaSi2Ag structure, as listed in Alexandria. Values from VASP.

Computed properties:
- Total moment: 0.00 μB/f.u.
- E_tot: -4.239 eV/atom
- Mass density: 5.71 g cm⁻³
- Uncorrected formation energy: 0.0 eV/f.u.
- N(E_F): 0.31 states/eV per atom

Cell and atoms, written as Quantum ESPRESSO input:
```
&SYSTEM
  ibrav = 0, nat = 4, ntyp = 3
/
ATOMIC_SPECIES
Ag 107.87 Ag.upf
Ba 137.33 Ba.upf
Si 28.09 Si.upf
ATOMIC_POSITIONS angstrom
Ag -0.3790 -0.5650 -2.4347
Ba -3.6971 -1.3499 -1.7360
Si -5.5044 -1.3020 1.1591
Si -1.1317 -0.2677 0.2383
CELL_PARAMETERS angstrom
-0.9653 1.8940 -2.4567
0.2073 -3.0240 -2.4127
-6.6361 -1.5697 1.3974
```

=====

# 4
First-principles (PBEsol) data for a geometry-optimized Mg2Nb2SnO8 structure, as listed in Alexandria. Values from VASP.

Computed properties:
- Total moment: 0.00 μB/f.u.
- E_tot: -7.880 eV/atom
- Mass density: 4.91 g cm⁻³
- Uncorrected formation energy: -31.1 eV/f.u.
- N(E_F): 0.00 states/eV per atom

Cell and atoms, written as Quantum ESPRESSO input:
```
&SYSTEM
  ibrav = 0, nat = 26, ntyp = 4
/
ATOMIC_SPECIES
Mg 24.30 Mg.upf
Nb 92.91 Nb.upf
Sn 118.71 Sn.upf
O 16.00 O.upf
ATOMIC_POSITIONS angstrom
Mg 1.2318 -0.8371 5.5343
Mg 1.1915 2.1684 4.7616
Mg 3.8196 3.8426 4.7582
Mg 3.8599 0.8371 5.5308
Nb 1.1479 4.9673 2.5978
Nb 1.2755 1.9618 7.6980
Nb 3.9035 -1.9618 7.6946
Nb 3.7760 1.0437 2.5944
Sn 1.3140 1.8150 -0.0017
Sn 3.9421 4.1960 -0.0052
O 2.7643 5.5215 1.6679
O 4.9152 2.5160 8.6211
O 2.2871 -2.5160 8.6246
O 0.1362 0.4895 1.6713
O 0.5456 3.6891 1.4095
O 1.8778 0.6836 8.8863
O 4.5058 -0.6836 8.8829
O 3.1737 2.3219 1.4061
O 4.9056 -0.6535 3.9524
O 2.7738 2.3520 6.3365
O 4.5559 2.1358 4.0256
O 3.1236 -0.8697 6.2633
O 0.4955 0.8697 6.2668
O 1.9278 3.8752 4.0291
O 2.2776 0.6535 3.9559
O 0.1458 3.6590 6.3400
CELL_PARAMETERS angstrom
5.2561 0.0000 -0.0069
0.0000 6.0110 0.0000
-0.2047 -3.0055 10.2993
```